Material: Sc4Ag3Pd
Method: DFT, PBE-GGA
State: relaxed

Cell: 3.390 3.390 13.710 Å, 90.00 90.00 90.00°
Positions (direct):
Sc 0.000 0.000 0.117
Sc 0.000 0.000 0.372
Sc 0.000 0.000 0.628
Sc 0.000 0.000 0.883
Ag 0.500 0.500 0.246
Ag 0.500 0.500 0.500
Ag 0.500 0.500 0.754
Pd 0.500 0.500 0.000

Results
calculated density = 6.4 g cm⁻³
E = -42.544 eV/cell
magnetic moment = 0.000 μB/atom


Material: Tb3Zn4Hg2
Method: DFT, PBE-GGA
State: relaxed

Cell: 5.810 5.810 8.742 Å, 112.86 112.86 47.17°
Positions (direct):
Tb 0.000 0.000 0.000
Tb 0.334 0.334 0.330
Tb 0.666 0.666 0.670
Zn 0.051 0.051 0.392
Zn 0.272 0.272 0.949
Zn 0.728 0.728 0.051
Zn 0.949 0.949 0.608
Hg 0.388 0.388 0.723
Hg 0.612 0.612 0.277

Results
calculated density = 9.7 g cm⁻³
E = -23.175 eV/cell
magnetic moment = 0.000 μB/atom


Material: Ca2LaAlH
Method: DFT, PBE-GGA
State: relaxed

Cell: 4.954 4.954 5.052 Å, 90.00 90.00 90.00°
Positions (direct):
Ca 0.000 0.500 0.000
Ca 0.500 0.000 0.000
La 0.000 0.000 0.500
Al 0.500 0.500 0.500
H 0.000 0.000 0.000

Results
calculated density = 3.3 g cm⁻³
E above lowest polymorph = 0.0 meV per atom
E = -17.182 eV/cell
magnetic moment = 0.000 μB/atom


Material: Zr2Pd3Au4
Method: DFT, PBE-GGA
State: relaxed

Cell: 5.153 5.153 8.833 Å, 109.37 109.37 46.39°
Positions (direct):
Zr 0.171 0.171 0.231
Zr 0.829 0.829 0.769
Pd 0.171 0.171 0.561
Pd 0.500 0.500 0.000
Pd 0.829 0.829 0.439
Au 0.165 0.165 0.890
Au 0.496 0.496 0.665
Au 0.504 0.504 0.335
Au 0.835 0.835 0.110

Results
calculated density = 13.5 g cm⁻³
E = -51.004 eV/cell
magnetic moment = 0.000 μB/atom


Material: ThSbAs2
Method: DFT, PBE-GGA
State: relaxed

Cell: 8.980 8.980 8.980 Å, 27.41 27.41 27.41°
Positions (direct):
Th 0.000 0.000 0.000
Sb 0.500 0.500 0.500
As 0.396 0.396 0.396
As 0.604 0.604 0.604

Results
calculated density = 6.2 g cm⁻³
ΔE_f (raw) = -213 meV/atom
E above lowest polymorph = 423.0 meV per atom
E = -21.694 eV/cell
magnetic moment = 0.000 μB/atom


Material: EuNbS2
Method: DFT, PBE-GGA
State: relaxed

Cell: 6.694 6.694 6.694 Å, 32.89 32.89 32.89°
Positions (direct):
Eu 0.000 0.000 0.000
Nb 0.500 0.500 0.500
S 0.240 0.240 0.240
S 0.760 0.760 0.760

Results
calculated density = 6.5 g cm⁻³
ΔE_f (raw) = -1281 meV/atom
E = -33.722 eV/cell
magnetic moment = 1.677 μB/atom


Material: PuIn2Pt
Method: DFT, PBE-GGA
State: relaxed

Cell: 4.306 4.306 4.894 Å, 90.00 90.00 90.00°
Positions (direct):
Pu 0.000 0.000 0.000
In 0.000 0.500 0.500
In 0.500 0.000 0.500
Pt 0.500 0.500 0.000

Results
calculated density = 12.2 g cm⁻³
E = -27.097 eV/cell
magnetic moment = 1.360 μB/atom


Material: LaHoH
Method: DFT, PBE-GGA
State: relaxed

Cell: 3.756 3.757 12.060 Å, 98.92 90.04 119.99°
Positions (direct):
La 0.000 0.000 0.000
La 0.420 0.837 0.259
Ho 0.174 0.341 0.513
Ho 0.584 0.160 0.742
H 0.068 0.133 0.203
H 0.710 0.419 0.130

Results
calculated density = 7.0 g cm⁻³
E above lowest polymorph = 31.7 meV per atom
E = -26.791 eV/cell
magnetic moment = 0.000 μB/atom


Material: NiSb2Os
Method: DFT, PBE-GGA
State: relaxed

Cell: 3.236 3.248 6.712 Å, 90.00 90.17 90.00°
Positions (direct):
Ni 0.000 0.000 0.000
Sb 0.500 0.500 0.247
Sb 0.500 0.500 0.753
Os 0.000 0.000 0.500

Results
calculated density = 11.6 g cm⁻³
ΔE_f (raw) = 394 meV/atom
E above lowest polymorph = 207.4 meV per atom
E = -23.679 eV/cell
magnetic moment = 0.000 μB/atom


Material: NaAcTbHg
Method: DFT, PBE-GGA
State: relaxed

Cell: 5.614 5.614 5.614 Å, 60.00 60.00 60.00°
Positions (direct):
Na 0.000 0.000 0.000
Ac 0.250 0.250 0.250
Tb 0.750 0.750 0.750
Hg 0.500 0.500 0.500

Results
calculated density = 8.1 g cm⁻³
E = -10.530 eV/cell
magnetic moment = 0.150 μB/atom


Material: TcAsCl2
Method: DFT, PBE-GGA
State: relaxed

Cell: 4.694 4.694 4.694 Å, 60.00 60.00 60.00°
Positions (direct):
Tc 0.000 0.000 0.000
As 0.500 0.500 0.500
Cl 0.250 0.250 0.250
Cl 0.750 0.750 0.750

Results
calculated density = 5.5 g cm⁻³
ΔE_f (raw) = 765 meV/atom
E above lowest polymorph = 979.7 meV per atom
E = -15.648 eV/cell
magnetic moment = 0.596 μB/atom


Material: Pr8Sb14Pt17
Method: DFT, PBE-GGA
State: relaxed

Cell: 14.113 14.113 14.113 Å, 126.75 126.75 78.65°
Positions (direct):
Pr 0.000 0.000 0.000
Pr 0.005 0.738 0.231
Pr 0.008 0.238 0.733
Pr 0.008 0.508 0.500
Pr 0.238 0.505 0.231
Pr 0.245 0.745 0.997
Pr 0.248 0.245 0.500
Pr 0.274 0.008 0.769
Pr 0.500 0.500 0.000
Pr 0.505 0.274 0.267
Pr 0.508 0.008 0.500
Pr 0.508 0.774 0.769
Pr 0.738 0.508 0.733
Pr 0.745 0.748 0.500
Pr 0.748 0.248 0.003
Pr 0.774 0.005 0.267
Sb 0.044 0.544 0.942
Sb 0.044 0.739 0.500
Sb 0.102 0.044 0.500
Sb 0.187 0.448 0.752
Sb 0.196 0.948 0.261
Sb 0.239 0.544 0.500
Sb 0.252 0.975 0.975
Sb 0.276 0.252 0.277
Sb 0.277 0.777 0.500
Sb 0.301 0.301 0.000
Sb 0.434 0.187 0.739
Sb 0.448 0.696 0.261
Sb 0.475 0.752 0.975
Sb 0.499 0.475 0.723
Sb 0.544 0.044 0.305
Sb 0.544 0.602 0.500
Sb 0.602 0.102 0.058
Sb 0.687 0.934 0.739
Sb 0.696 0.434 0.248
Sb 0.739 0.239 0.695
Sb 0.752 0.776 0.277
Sb 0.776 0.499 0.025
Sb 0.777 0.277 0.500
Sb 0.801 0.801 0.000
Sb 0.934 0.196 0.248
Sb 0.948 0.687 0.752
Sb 0.975 0.999 0.723
Sb 0.999 0.276 0.025
Pt 0.001 0.764 0.012
Pt 0.015 0.230 0.500
Pt 0.015 0.515 0.257
Pt 0.036 0.806 0.724
Pt 0.082 0.312 0.276
Pt 0.176 0.176 0.000
Pt 0.230 0.730 0.215
Pt 0.253 0.264 0.763
Pt 0.258 0.758 0.743
Pt 0.264 0.501 0.012
Pt 0.295 0.961 0.500
Pt 0.306 0.536 0.724
Pt 0.312 0.036 0.230
Pt 0.437 0.470 0.500
Pt 0.461 0.795 0.500
Pt 0.470 0.970 0.033
Pt 0.490 0.253 0.988
Pt 0.501 0.490 0.237
Pt 0.515 0.015 0.785
Pt 0.515 0.258 0.500
Pt 0.536 0.812 0.230
Pt 0.582 0.306 0.770
Pt 0.676 0.676 0.000
Pt 0.730 0.515 0.500
Pt 0.753 0.990 0.988
Pt 0.758 0.015 0.500
Pt 0.764 0.753 0.763
Pt 0.795 0.295 0.333
Pt 0.806 0.082 0.770
Pt 0.812 0.582 0.276
Pt 0.937 0.437 0.967
Pt 0.961 0.461 0.667
Pt 0.970 0.937 0.500
Pt 0.990 0.001 0.237

Results
calculated density = 11.7 g cm⁻³
ΔE_f (raw) = -868 meV/atom
E = -465.014 eV/cell
magnetic moment = 0.000 μB/atom


Material: LiMg2ZrCu
Method: DFT, PBE-GGA
State: relaxed

Cell: 4.599 4.599 4.315 Å, 90.00 90.00 90.00°
Positions (direct):
Li 0.000 0.000 0.000
Mg 0.000 0.500 0.000
Mg 0.500 0.000 0.000
Zr 0.500 0.500 0.500
Cu 0.000 0.000 0.500

Results
calculated density = 3.8 g cm⁻³
E = -15.988 eV/cell
magnetic moment = 0.000 μB/atom


Material: TaHPd3
Method: DFT, PBE-GGA
State: relaxed

Cell: 4.044 4.044 4.044 Å, 90.00 90.00 90.00°
Positions (direct):
Ta 0.000 0.000 0.000
H 0.500 0.500 0.500
Pd 0.000 0.500 0.500
Pd 0.500 0.000 0.500
Pd 0.500 0.500 0.000

Results
calculated density = 12.6 g cm⁻³
E above lowest polymorph = 0.0 meV per atom
E = -31.015 eV/cell
magnetic moment = 0.397 μB/atom


Material: TcBrCl3
Method: DFT, PBE-GGA
State: relaxed

Cell: 4.840 4.840 4.840 Å, 90.00 90.00 90.00°
Positions (direct):
Tc 0.000 0.000 0.000
Br 0.500 0.500 0.500
Cl 0.000 0.000 0.500
Cl 0.000 0.500 0.000
Cl 0.500 0.000 0.000

Results
calculated density = 4.2 g cm⁻³
ΔE_f (raw) = -35 meV/atom
E above lowest polymorph = 557.8 meV per atom
E = -17.756 eV/cell
magnetic moment = 0.411 μB/atom


Material: Pm12HoEr3
Method: DFT, PBE-GGA
State: relaxed

Cell: 5.120 5.120 20.431 Å, 90.00 90.00 90.00°
Positions (direct):
Pm 0.000 0.000 0.000
Pm 0.000 0.000 0.250
Pm 0.000 0.000 0.500
Pm 0.000 0.000 0.750
Pm 0.000 0.500 0.125
Pm 0.000 0.500 0.375
Pm 0.000 0.500 0.625
Pm 0.000 0.500 0.875
Pm 0.500 0.000 0.125
Pm 0.500 0.000 0.375
Pm 0.500 0.000 0.625
Pm 0.500 0.000 0.875
Ho 0.500 0.500 0.000
Er 0.500 0.500 0.250
Er 0.500 0.500 0.500
Er 0.500 0.500 0.750

Results
calculated density = 7.5 g cm⁻³
E = -75.033 eV/cell
magnetic moment = 0.000 μB/atom


Material: Ac12Si6H
Method: DFT, PBE-GGA
State: relaxed

Cell: 8.954 8.954 8.954 Å, 100.25 100.25 100.25°
Positions (direct):
Ac 0.033 0.685 0.926
Ac 0.074 0.967 0.315
Ac 0.182 0.421 0.562
Ac 0.315 0.074 0.967
Ac 0.421 0.562 0.182
Ac 0.438 0.818 0.579
Ac 0.562 0.182 0.421
Ac 0.579 0.438 0.818
Ac 0.685 0.926 0.033
Ac 0.818 0.579 0.438
Ac 0.926 0.033 0.685
Ac 0.967 0.315 0.074
Si 0.125 0.629 0.299
Si 0.299 0.125 0.629
Si 0.371 0.701 0.875
Si 0.629 0.299 0.125
Si 0.701 0.875 0.371
Si 0.875 0.371 0.701
H 0.000 0.000 0.000

Results
calculated density = 7.1 g cm⁻³
E = -90.504 eV/cell
magnetic moment = 0.022 μB/atom


Material: Ni3W
Method: DFT, PBE-GGA
State: relaxed

Cell: 4.897 4.897 4.897 Å, 148.50 63.42 126.50°
Positions (direct):
Ni 0.000 0.000 0.000
Ni 0.097 0.351 0.746
Ni 0.605 0.351 0.254
W 0.496 0.996 0.500

Results
calculated density = 12.2 g cm⁻³
E = -30.126 eV/cell
magnetic moment = 0.000 μB/atom


Material: Tb2Pm2Mg
Method: DFT, PBE-GGA
State: relaxed

Cell: 13.266 13.266 13.266 Å, 157.56 157.56 31.95°
Positions (direct):
Tb 0.050 0.300 0.750
Tb 0.300 0.050 0.250
Tb 0.700 0.950 0.750
Tb 0.950 0.700 0.250
Pm 0.204 0.454 0.750
Pm 0.454 0.204 0.250
Pm 0.546 0.796 0.750
Pm 0.796 0.546 0.250
Mg 0.375 0.625 0.750
Mg 0.625 0.375 0.250

Results
calculated density = 6.2 g cm⁻³
E above lowest polymorph = 207.5 meV per atom
E = -38.841 eV/cell
magnetic moment = 0.000 μB/atom


Material: AcEuAsPt
Method: DFT, PBE-GGA
State: relaxed

Cell: 5.307 5.307 5.307 Å, 60.00 60.00 60.00°
Positions (direct):
Ac 0.000 0.000 0.000
Eu 0.500 0.500 0.500
As 0.750 0.750 0.750
Pt 0.250 0.250 0.250

Results
calculated density = 10.2 g cm⁻³
E = -29.306 eV/cell
magnetic moment = 1.752 μB/atom